4
Lattice="-3.546 0.687 -4.216 -5.467 0.245 0.931 5.063 2.113 0.849" Properties=species:S:1:pos:R:3 comment="CrAg2Pt GGA-PBE optimized geometry" magnetic_moment_mub_per_fu=3.98 formation_energy_ev_per_atom=0.15 density_g_cm3=11.537 e_above_lowest_polymorph_mev_per_atom=58.2 pbc="T T T"
Ag -0.004 0.000 -0.001
Ag -4.503 0.466 -1.641
Cr -2.456 1.412 0.068
Pt -1.495 1.634 -2.505